1) Density functional theory data (PBE) for crystalline RbGaSeBr2 at its relaxed geometry.

Results
DOS at the Fermi energy in states/eV per atom: 0.88
Space-group type: P4/mmm (123)
V in A^3/atom: 30.5

Structure (POSCAR):
```
RbGaSeBr2
1.0
5.529 0.000 0.000
0.000 5.529 0.000
0.000 0.000 4.981
Ga Se Br Rb
1 1 2 1
Direct
0.000 0.000 0.000 Ga
0.000 0.000 0.500 Se
0.000 0.500 0.000 Br
0.500 0.000 0.000 Br
0.500 0.500 0.500 Rb
```

2) Density functional theory data (PBE) for crystalline RbGaSeBr2 at its relaxed geometry.

Results
DOS at the Fermi energy in states/eV per atom: 1.25
Space-group type: P4/mmm (123)
V in A^3/atom: 51.3

Structure (POSCAR):
```
RbGaSeBr2
1.0
6.423 0.000 0.000
0.000 6.423 0.000
0.000 0.000 6.218
Ga Se Br Rb
1 1 2 1
Direct
0.500 0.500 0.500 Ga
0.000 0.000 0.500 Se
0.000 0.500 0.000 Br
0.500 0.000 0.000 Br
0.000 0.000 0.000 Rb
```

Least stable = 2)